BaEuN | Alexandria via LeMat-Bulk | PBE | optimized geometry; VASP energy = -6.9169 eV per atom; N(E_F) = 1.32 states/eV per cell; offset from the most stable computed form = 0.460 eV per atom; raw formation energy = -76 meV/atom; total magnetic moment = 7.94 Bohr magnetons per cell
1.0
4.698 0.000 0.000
2.349 4.068 0.000
2.349 1.356 3.836
Eu Ba N
1 1 1
Direct
0.500 0.500 0.500 Eu
0.000 0.000 0.000 Ba
0.250 0.250 0.250 N